No. 1
VASP calculation (GGA-PBE) on crystalline NdHoGePd at its relaxed geometry.

Values from the calculation:
Polymorph energy (0 for the lowest one)   0.090 eV per atom
ΔE_f   -0.757 eV per atom

Cell: 7.1982 7.1982 7.1982 Å, 90.00 90.00 90.00°
Space group F-43m (No. 216)
Unique sites:
1 Nd 0.0000 0.0000 0.0000
2 Ho 0.0000 0.0000 0.5000
3 Ge 0.2500 0.2500 0.7500
4 Pd 0.2500 0.2500 0.2500



No. 2
VASP calculation (GGA-PBE) on crystalline Sr2In2W at its relaxed geometry.

Values from the calculation:
ΔE_f   1.108 eV per atom

Cell: 4.6004 4.6004 14.5662 Å, 90.00 90.00 90.00°
Space group I4/mmm (No. 139)
Unique sites:
1 Sr 0.0000 0.5000 0.2500
2 In 0.0000 0.0000 0.0908
3 W 0.0000 0.0000 0.5000



No. 3
VASP calculation (GGA-PBE) on crystalline Ac8Ir3PtSe4 at its relaxed geometry.

Values from the calculation:
Final energy   -6.304 eV/atom

Cell: 8.6936 8.6936 22.9788 Å, 90.00 90.00 120.00°
Space group R-3m (No. 166, hexagonal axes)
Unique sites:
1 Ac 0.0000 0.0000 0.2411
2 Ac 0.0055 0.5028 0.7584
3 Ir 0.0000 0.5000 0.5000
4 Pt 0.0000 0.0000 0.5000
5 Se 0.0000 0.0000 0.0000
6 Se 0.0000 0.5000 0.0000



No. 4
VASP calculation (GGA-PBE) on crystalline BaZrTl3 at its relaxed geometry.

Values from the calculation:
Polymorph energy (0 for the lowest one)   1.291 eV per atom
ΔE_f   1.269 eV per atom

Cell: 6.1744 6.1744 6.1744 Å, 90.00 90.00 90.00°
Space group Pm-3m (No. 221)
Unique sites:
1 Ba 0.0000 0.0000 0.0000
2 Zr 0.5000 0.5000 0.5000
3 Tl 0.0000 0.0000 0.5000



No. 5
VASP calculation (GGA-PBE) on crystalline Te2Pb2Au at its relaxed geometry.

Values from the calculation:
Polymorph energy (0 for the lowest one)   0.025 eV per atom

Cell: 8.4210 8.4210 4.3676 Å, 90.00 90.00 90.00°
Space group P4/mbm (No. 127)
Unique sites:
1 Te 0.1598 0.3402 0.0000
2 Pb 0.1552 0.6552 0.5000
3 Au 0.0000 0.0000 0.5000



No. 6
VASP calculation (GGA-PBE) on crystalline Nb2InGa at its relaxed geometry.

Values from the calculation:
Polymorph energy (0 for the lowest one)   0.084 eV per atom
ΔE_f   0.032 eV per atom

Cell: 3.0255 3.0255 28.5243 Å, 90.00 90.00 120.00°
Space group R-3m (No. 166, hexagonal axes)
Unique sites:
1 Nb 0.0000 0.0000 0.2461
2 In 0.0000 0.0000 0.0000
3 Ga 0.0000 0.0000 0.5000



No. 7
VASP calculation (GGA-PBE) on crystalline AcTb6Nd at its relaxed geometry.

Values from the calculation:
Polymorph energy (0 for the lowest one)   0.000 eV per atom
ΔE_f   0.036 eV per atom

Cell: 5.1291 5.1291 10.2630 Å, 90.00 90.00 90.00°
Space group P4/mmm (No. 123)
Unique sites:
1 Ac 0.0000 0.0000 0.0000
2 Tb 0.0000 0.5000 0.2559
3 Tb 0.5000 0.5000 0.0000
4 Tb 0.5000 0.5000 0.5000
5 Nd 0.0000 0.0000 0.5000



No. 8
VASP calculation (GGA-PBE) on crystalline TaTlMo at its relaxed geometry.

Values from the calculation:
Polymorph energy (0 for the lowest one)   0.054 eV per atom
ΔE_f   0.402 eV per atom

Cell: 3.3068 5.1003 14.0785 Å, 90.00 90.00 90.00°
Space group Fmm2 (No. 42)
Unique sites:
1 Ta 0.0000 0.0000 0.0000
2 Tl 0.0000 0.0000 0.6832
3 Mo 0.0000 0.0000 0.3592



No. 9
VASP calculation (GGA-PBE) on crystalline HfS at its relaxed geometry.

Values from the calculation:
Final energy   -7.735 eV/atom

Cell: 7.8595 7.8595 7.8595 Å, 90.00 90.00 90.00°
Space group I-43m (No. 217)
Unique sites:
1 Hf 0.1363 0.1363 0.8637
2 S 0.1770 0.1770 0.1770



No. 10
VASP calculation (GGA-PBE) on crystalline AcTl2Br3F3 at its relaxed geometry.

Values from the calculation:
Final energy   -4.273 eV/atom

Cell: 8.2126 8.2126 3.8849 Å, 90.00 90.00 120.00°
Space group P-62m (No. 189)
Unique sites:
1 Ac 0.0000 0.0000 0.0000
2 Tl 0.3333 0.6667 0.5000
3 Br 0.0000 0.4240 0.0000
4 F 0.0000 0.8045 0.5000



Number 1: M_tot 0.00 μB/atom. Number 2: M_tot 0.67 μB/atom. Number 3: M_tot 0.00 μB/atom. Number 4: M_tot 0.54 μB/atom. Number 5: M_tot 0.00 μB/atom. Number 6: M_tot 0.00 μB/atom. Number 7: M_tot 0.00 μB/atom. Number 8: M_tot 0.00 μB/atom. Number 9: M_tot 0.00 μB/atom. Number 10: M_tot 0.00 μB/atom.